Record 1
KRhPb2O | GGA-PBEsol | relaxed

Structure (CIF):
```
data_KRhPb2O
_chemical_formula_sum 'K1 Rh1 Pb2 O1'
_cell_length_a 4.812
_cell_length_b 4.812
_cell_length_c 4.696
_cell_angle_alpha 90.00
_cell_angle_beta 90.00
_cell_angle_gamma 90.00
_space_group_name_H-M_alt 'P 4/m m m'
_space_group_IT_number 123
_space_group_name_Hall '-P 4 2'
loop_
_atom_site_label
_atom_site_type_symbol
_atom_site_fract_x
_atom_site_fract_y
_atom_site_fract_z
_atom_site_occupancy
K1 K 0.000 0.000 0.000 1
Rh1 Rh 0.500 0.500 0.000 1
Pb1 Pb 0.000 0.500 0.500 1
O1 O 0.000 0.000 0.500 1
```

Summary:
D(E_F) = 1.95 states/eV per cell
Formation energy (no corrections) = 0.1 eV per formula unit
Crystal system = tetragonal
Calculated volume = 109 Å³/f.u.
E = -22.464 eV for the cell shown



Record 2
KV3Pb4O12 | GGA-PBEsol | relaxed

Structure (CIF):
```
data_KV3Pb4O12
_chemical_formula_sum 'K2 V6 Pb8 O24'
_cell_length_a 10.0523
_cell_length_b 10.0523
_cell_length_c 7.4206
_cell_angle_alpha 90.00
_cell_angle_beta 90.00
_cell_angle_gamma 120.00
_space_group_name_H-M_alt 'P 63'
_space_group_IT_number 173
loop_
_space_group_symop_operation_xyz
'x,y,z'
'x-y,x,z+1/2'
'-y,x-y,z'
'-x,-y,z+1/2'
'-x+y,-x,z'
'y,-x+y,z+1/2'
loop_
_atom_site_label
_atom_site_type_symbol
_atom_site_fract_x
_atom_site_fract_y
_atom_site_fract_z
_atom_site_occupancy
K1 K 0.3333 0.6667 0.0000 1
V1 V 0.0142 0.3879 0.2338 1
Pb1 Pb 0.0012 0.2527 0.7397 1
Pb2 Pb 0.3333 0.6667 0.5046 1
O1 O 0.0747 0.3286 0.4156 1
O2 O 0.0902 0.3438 0.0538 1
O3 O 0.0908 0.5854 0.2473 1
O4 O 0.1836 0.7112 0.7189 1
```

Summary:
D(E_F) = 0.00 states/eV per cell
Formation energy (no corrections) = -39.1 eV per formula unit
Crystal system = hexagonal
Calculated volume = 325 Å³/f.u.
E = -296.233 eV for the cell shown



Record 3
KVPbO4 | GGA-PBEsol | relaxed

Structure (CIF):
```
data_KVPbO4
_chemical_formula_sum 'K4 V4 Pb4 O16'
_cell_length_a 7.652
_cell_length_b 5.738
_cell_length_c 10.043
_cell_angle_alpha 90.00
_cell_angle_beta 90.00
_cell_angle_gamma 90.00
_space_group_name_H-M_alt 'P n m a'
_space_group_IT_number 62
loop_
_space_group_symop_operation_xyz
'x,y,z'
'-x,-y,-z'
'-x+1/2,-y,z+1/2'
'x+1/2,y,-z+1/2'
'x+1/2,-y+1/2,-z+1/2'
'-x+1/2,y+1/2,z+1/2'
'-x,y+1/2,-z'
'x,-y+1/2,z'
loop_
_atom_site_label
_atom_site_type_symbol
_atom_site_fract_x
_atom_site_fract_y
_atom_site_fract_z
_atom_site_occupancy
K1 K 0.180 0.250 0.093 1
V1 V 0.247 0.250 0.422 1
Pb1 Pb 0.009 0.250 0.714 1
O1 O 0.031 0.250 0.392 1
O2 O 0.159 0.505 0.855 1
O3 O 0.218 0.750 0.094 1
```

Summary:
D(E_F) = 0.00 states/eV per cell
Formation energy (no corrections) = -14.3 eV per formula unit
Crystal system = orthorhombic
Calculated volume = 110 Å³/f.u.
E = -200.063 eV for the cell shown



Record 4
KPrPdO3 | GGA-PBEsol | relaxed

Structure (CIF):
```
data_KPrPdO3
_chemical_formula_sum 'K4 Pr4 Pd4 O12'
_cell_length_a 13.236
_cell_length_b 3.930
_cell_length_c 7.425
_cell_angle_alpha 90.00
_cell_angle_beta 105.21
_cell_angle_gamma 90.00
_space_group_name_H-M_alt 'C 1 2/m 1'
_space_group_IT_number 12
loop_
_space_group_symop_operation_xyz
'x,y,z'
'-x,-y,-z'
'-x,y,-z'
'x,-y,z'
'x+1/2,y+1/2,z'
'-x+1/2,-y+1/2,-z'
'-x+1/2,y+1/2,-z'
'x+1/2,-y+1/2,z'
loop_
_atom_site_label
_atom_site_type_symbol
_atom_site_fract_x
_atom_site_fract_y
_atom_site_fract_z
_atom_site_occupancy
K1 K 0.143 0.000 0.065 1
Pr1 Pr 0.150 0.000 0.580 1
Pd1 Pd 0.006 0.500 0.273 1
O1 O 0.007 0.000 0.306 1
O2 O 0.152 0.500 0.784 1
O3 O 0.167 0.500 0.364 1
```

Summary:
D(E_F) = 0.29 states/eV per cell
Formation energy (no corrections) = -11.7 eV per formula unit
Crystal system = monoclinic
Calculated volume = 93 Å³/f.u.
E = -159.047 eV for the cell shown



What did the first record say?
KRhPb2O | GGA-PBEsol | relaxed

Structure (CIF):
```
data_KRhPb2O
_chemical_formula_sum 'K1 Rh1 Pb2 O1'
_cell_length_a 4.812
_cell_length_b 4.812
_cell_length_c 4.696
_cell_angle_alpha 90.00
_cell_angle_beta 90.00
_cell_angle_gamma 90.00
_space_group_name_H-M_alt 'P 4/m m m'
_space_group_IT_number 123
_space_group_name_Hall '-P 4 2'
loop_
_atom_site_label
_atom_site_type_symbol
_atom_site_fract_x
_atom_site_fract_y
_atom_site_fract_z
_atom_site_occupancy
K1 K 0.000 0.000 0.000 1
Rh1 Rh 0.500 0.500 0.000 1
Pb1 Pb 0.000 0.500 0.500 1
O1 O 0.000 0.000 0.500 1
```

Summary:
D(E_F) = 1.95 states/eV per cell
Formation energy (no corrections) = 0.1 eV per formula unit
Crystal system = tetragonal
Calculated volume = 109 Å³/f.u.
E = -22.464 eV for the cell shown



> The lowest calculated volume belongs to which entry?

KPrPdO3



> The highest E belongs to which entry?

KRhPb2O